NbRhI3 | PBE | relaxed

a = 5.5148 Å, b = 5.5148 Å, c = 5.5148 Å
α = 90.00°, β = 90.00°, γ = 90.00°
Sites, in units of the cell vectors:
Nb 0.0000 0.0000 0.0000
I 0.0000 0.5000 0.0000
I 0.0000 0.0000 0.5000
Rh 0.5000 0.5000 0.5000
I 0.5000 0.0000 0.0000

Values from the calculation:
For the calculated density, the calculation gives 5.71 g cm⁻³. The offset from the most stable computed form is 0.117 eV per atom. Its symmetry is No. 221. The calculation puts the formation energy (no corrections) at 0.89 eV per atom. As for the crystal system: cubic. Its uncorrected energy is -17.625 eV per formula unit. The value obtained for the density of states at the Fermi level is 12.053 states/eV per cell.

Sm7Hg2C2 | PBE | relaxed

a = 6.7623 Å, b = 6.7911 Å, c = 6.7911 Å
α = 69.65°, β = 95.37°, γ = 95.37°
Sites, in units of the cell vectors:
Sm 0.2344 0.9469 0.5055
Sm 0.0000 0.0000 0.0000
C 0.9741 0.7625 0.7625
C 0.0259 0.2375 0.2375
Sm 0.7882 0.5606 0.5606
Sm 0.7656 0.4945 0.0531
Sm 0.2118 0.4394 0.4394
Sm 0.2344 0.5055 0.9469
Hg 0.5000 0.8178 0.1822
Sm 0.7656 0.0531 0.4945
Hg 0.5000 0.1822 0.8178

Values from the calculation:
For the calculated density, the calculation gives 8.45 g cm⁻³. Its symmetry is No. 12. For the formation energy from the elements, the calculation gives -0.098 eV per atom. As for the crystal system: monoclinic. Its uncorrected energy is -53.163 eV per formula unit. The value obtained for the density of states at the Fermi level is 11.853 states/eV per cell.

PrTlPt5 | PBE | relaxed

a = 5.3761 Å, b = 8.9820 Å, c = 11.2660 Å
α = 90.00°, β = 90.00°, γ = 90.00°
Sites, in units of the cell vectors:
Pt 0.5038 0.4326 0.2000
Pt 0.2500 0.1908 0.2681
Pt 0.7500 0.3092 0.7681
Pt 0.5038 0.9326 0.3000
Pt 0.2500 0.4652 0.4097
Pt 0.2500 0.0719 0.4908
Pt 0.0038 0.5674 0.8000
Tl 0.2500 0.3537 0.6337
Pt 0.7500 0.0348 0.9097
Pt 0.9962 0.9326 0.3000
Pt 0.7500 0.4281 0.9908
Pt 0.7500 0.5348 0.5903
Pr 0.7500 0.7526 0.0674
Tl 0.7500 0.6463 0.3663
Tl 0.2500 0.8537 0.8663
Pt 0.2500 0.9652 0.0903
Pt 0.9962 0.4326 0.2000
Pt 0.2500 0.5719 0.0092
Pr 0.2500 0.7474 0.5674
Tl 0.7500 0.1463 0.1337
Pt 0.7500 0.9281 0.5092
Pt 0.0038 0.0674 0.7000
Pt 0.4962 0.0674 0.7000
Pt 0.2500 0.6908 0.2319
Pt 0.7500 0.8092 0.7319
Pt 0.4962 0.5674 0.8000
Pr 0.7500 0.2526 0.4326
Pr 0.2500 0.2474 0.9326

Values from the calculation:
For the calculated density, the calculation gives 16.13 g cm⁻³. Its symmetry is No. 62. For the formation energy from the elements, the calculation gives -0.532 eV per atom. As for the crystal system: orthorhombic. Its uncorrected energy is -41.072 eV per formula unit. The value obtained for the density of states at the Fermi level is 14.408 states/eV per cell.

Cs3ReS | PBE | relaxed

a = 6.7128 Å, b = 6.7128 Å, c = 6.7128 Å
α = 90.00°, β = 90.00°, γ = 90.00°
Last column: magnetic moment on the atom in μB.
Sites, in units of the cell vectors:
Cs 0.0000 0.5000 0.0000  0.00
S 0.0000 0.0000 0.0000  0.00
Cs 0.0000 0.0000 0.5000  0.00
Re 0.5000 0.5000 0.5000  3.33
Cs 0.5000 0.0000 0.0000  0.00

Values from the calculation:
For the calculated density, the calculation gives 3.39 g cm⁻³. The offset from the most stable computed form is 0.000 eV per atom. Its symmetry is No. 221. The calculation puts the formation energy (no corrections) at 0.75 eV per atom. As for the crystal system: cubic. Its uncorrected energy is -15.368 eV per formula unit. The value obtained for the density of states at the Fermi level is 8.138 states/eV per cell.